VASP calculation (GGA-PBE) on a relaxed Th2ZnSn crystal.

Raw total energy = -4.935 eV/atom
E_form = 0.09 eV/atom
Total moment = 0.00 μB/cell

```
data_Th2ZnSn
_symmetry_space_group_name_H-M 'R -3 m'
_symmetry_Int_Tables_number 166
_symmetry_space_group_name_Hall '-R 3 2"'
_cell_length_a 3.4708
_cell_length_b 3.4708
_cell_length_c 33.7676
_cell_angle_alpha 90.00
_cell_angle_beta 90.00
_cell_angle_gamma 120.00
loop_
_atom_site_label
_atom_site_type_symbol
_atom_site_fract_x
_atom_site_fract_y
_atom_site_fract_z
Th1 Th 0.0000 0.0000 0.0954
Zn1 Zn 0.0000 0.0000 0.5000
Sn1 Sn 0.0000 0.0000 0.0000
```

=====

VASP calculation (GGA-PBE) on a relaxed Pr3HoPb3 crystal.

Raw total energy = -4.662 eV/atom
E_form = -0.37 eV/atom
Total moment = 0.01 μB/cell

```
data_Pr3HoPb3
_symmetry_space_group_name_H-M 'C 1 2/m 1'
_symmetry_Int_Tables_number 12
_cell_length_a 8.504
_cell_length_b 10.970
_cell_length_c 9.824
_cell_angle_alpha 90.00
_cell_angle_beta 90.61
_cell_angle_gamma 90.00
loop_
_symmetry_equiv_pos_as_xyz
'x,y,z'
'-x,-y,-z'
'-x,y,-z'
'x,-y,z'
'x+1/2,y+1/2,z'
'-x+1/2,-y+1/2,-z'
'-x+1/2,y+1/2,-z'
'x+1/2,-y+1/2,z'
loop_
_atom_site_label
_atom_site_type_symbol
_atom_site_fract_x
_atom_site_fract_y
_atom_site_fract_z
Pr1 Pr 0.000 0.184 0.000
Pr2 Pr 0.000 0.230 0.500
Pr3 Pr 0.076 0.500 0.811
Ho1 Ho 0.213 0.500 0.466
Pb1 Pb 0.038 0.000 0.267
Pb2 Pb 0.238 0.284 0.242
```

=====

VASP calculation (GGA-PBE) on a relaxed Pr4As6Au5 crystal.

Raw total energy = -5.005 eV/atom
E_form = -0.78 eV/atom
Total moment = 0.00 μB/cell

```
data_Pr4As6Au5
_symmetry_space_group_name_H-M 'C m c 21'
_symmetry_Int_Tables_number 36
_cell_length_a 4.287
_cell_length_b 20.897
_cell_length_c 15.825
_cell_angle_alpha 90.00
_cell_angle_beta 90.00
_cell_angle_gamma 90.00
loop_
_symmetry_equiv_pos_as_xyz
'x,y,z'
'-x,-y,z+1/2'
'-x,y,z'
'x,-y,z+1/2'
'x+1/2,y+1/2,z'
'-x+1/2,-y+1/2,z+1/2'
'-x+1/2,y+1/2,z'
'x+1/2,-y+1/2,z+1/2'
loop_
_atom_site_label
_atom_site_type_symbol
_atom_site_fract_x
_atom_site_fract_y
_atom_site_fract_z
Pr1 Pr 0.000 0.014 0.000
Pr2 Pr 0.000 0.038 0.271
Pr3 Pr 0.000 0.172 0.794
Pr4 Pr 0.000 0.179 0.452
As1 As 0.000 0.109 0.618
As2 As 0.000 0.222 0.005
As3 As 0.000 0.225 0.251
As4 As 0.000 0.421 0.910
As5 As 0.000 0.436 0.365
As6 As 0.000 0.446 0.630
Au1 Au 0.000 0.135 0.120
Au2 Au 0.000 0.309 0.121
Au3 Au 0.000 0.332 0.448
Au4 Au 0.000 0.333 0.795
Au5 Au 0.000 0.438 0.200
```

=====

VASP calculation (GGA-PBE) on a relaxed AcAg2Sn2 crystal.

Raw total energy = -3.995 eV/atom
E_form = -0.43 eV/atom
Total moment = 0.00 μB/cell

```
data_AcAg2Sn2
_symmetry_space_group_name_H-M 'C m c m'
_symmetry_Int_Tables_number 63
_symmetry_space_group_name_Hall '-C 2c 2'
_cell_length_a 6.679
_cell_length_b 6.668
_cell_length_c 11.713
_cell_angle_alpha 90.00
_cell_angle_beta 90.00
_cell_angle_gamma 90.00
loop_
_atom_site_label
_atom_site_type_symbol
_atom_site_fract_x
_atom_site_fract_y
_atom_site_fract_z
Ac1 Ac 0.000 0.244 0.250
Ag1 Ag 0.238 0.000 0.000
Sn1 Sn 0.000 0.262 0.629
```

=====

VASP calculation (GGA-PBE) on a relaxed ScPa2VN5 crystal.

Raw total energy = -9.927 eV/atom
Energy relative to the elements, uncorrected = -13.3 eV/f.u.
Total moment = 0.01 μB/cell

```
data_ScPa2VN5
_symmetry_space_group_name_H-M 'C m c 21'
_symmetry_Int_Tables_number 36
_cell_length_a 3.316
_cell_length_b 13.220
_cell_length_c 10.024
_cell_angle_alpha 90.00
_cell_angle_beta 90.00
_cell_angle_gamma 90.00
loop_
_symmetry_equiv_pos_as_xyz
'x,y,z'
'-x,-y,z+1/2'
'-x,y,z'
'x,-y,z+1/2'
'x+1/2,y+1/2,z'
'-x+1/2,-y+1/2,z+1/2'
'-x+1/2,y+1/2,z'
'x+1/2,-y+1/2,z+1/2'
loop_
_atom_site_label
_atom_site_type_symbol
_atom_site_fract_x
_atom_site_fract_y
_atom_site_fract_z
Sc1 Sc 0.000 0.208 0.000
Pa1 Pa 0.000 0.111 0.681
Pa2 Pa 0.000 0.144 0.295
V1 V 0.000 0.476 0.462
N1 N 0.000 0.046 0.050
N2 N 0.000 0.283 0.660
N3 N 0.000 0.323 0.358
N4 N 0.000 0.371 0.998
N5 N 0.000 0.486 0.776
```

=====

VASP calculation (GGA-PBE) on a relaxed Ce6Sn3Bi crystal.

Raw total energy = -5.493 eV/atom
E_form = -0.34 eV/atom
Total moment = 13.03 μB/cell

```
data_Ce6Sn3Bi
_symmetry_space_group_name_H-M 'P 1 21/c 1'
_symmetry_Int_Tables_number 14
_cell_length_a 8.117
_cell_length_b 8.720
_cell_length_c 11.269
_cell_angle_alpha 90.00
_cell_angle_beta 129.90
_cell_angle_gamma 90.00
loop_
_symmetry_equiv_pos_as_xyz
'x,y,z'
'-x,-y,-z'
'-x,y+1/2,-z+1/2'
'x,-y+1/2,z+1/2'
loop_
_atom_site_label
_atom_site_type_symbol
_atom_site_fract_x
_atom_site_fract_y
_atom_site_fract_z
Ce1 Ce 0.018 0.119 0.281
Ce2 Ce 0.283 0.699 0.099
Ce3 Ce 0.432 0.156 0.072
Sn1 Sn 0.248 0.136 0.706
Sn2 Sn 0.500 0.000 0.500
Bi1 Bi 0.000 0.000 0.000
```

=====

VASP calculation (GGA-PBE) on a relaxed MgSc3Sn2 crystal.

Raw total energy = -5.225 eV/atom
E_form = -0.46 eV/atom
Total moment = 0.00 μB/cell

```
data_MgSc3Sn2
_symmetry_space_group_name_H-M 'I b a m'
_symmetry_Int_Tables_number 72
_symmetry_space_group_name_Hall '-I 2 2c'
_cell_length_a 6.053
_cell_length_b 15.593
_cell_length_c 6.015
_cell_angle_alpha 90.00
_cell_angle_beta 90.00
_cell_angle_gamma 90.00
loop_
_atom_site_label
_atom_site_type_symbol
_atom_site_fract_x
_atom_site_fract_y
_atom_site_fract_z
Mg1 Mg 0.000 0.000 0.250
Sc1 Sc 0.000 0.500 0.250
Sc2 Sc 0.239 0.174 0.000
Sn1 Sn 0.238 0.363 0.000
```

=====

VASP calculation (GGA-PBE) on a relaxed ZrSiMo2 crystal.

Raw total energy = -9.120 eV/atom
Energy relative to the elements, uncorrected = -0.8 eV/f.u.
Total moment = 0.00 μB/cell

```
data_ZrSiMo2
_symmetry_space_group_name_H-M 'P 4/m m m'
_symmetry_Int_Tables_number 123
_symmetry_space_group_name_Hall '-P 4 2'
_cell_length_a 3.372
_cell_length_b 3.372
_cell_length_c 5.899
_cell_angle_alpha 90.00
_cell_angle_beta 90.00
_cell_angle_gamma 90.00
loop_
_atom_site_label
_atom_site_type_symbol
_atom_site_fract_x
_atom_site_fract_y
_atom_site_fract_z
Zr1 Zr 0.000 0.000 0.000
Si1 Si 0.000 0.000 0.500
Mo1 Mo 0.500 0.500 0.289
```